Record 1
{"formula": "CaMgGa2", "functional": "PBE-GGA", "state": "relaxed", "magnetic_moment_mub_per_cell": 0.000, "ef_mev_per_atom": -46, "volume_a3_per_atom": 27.0, "total_energy_ev_per_atom": -2.459, "lattice": [[-2.409, 2.409, 9.291], [2.409, -2.409, 9.291], [2.409, 2.409, -9.291]], "species": ["Ca", "Ca", "Mg", "Mg", "Ga", "Ga", "Ga", "Ga"], "frac_coords": [[0.000, 0.000, 0.000], [0.750, 0.250, 0.500], [0.250, 0.750, 0.500], [0.500, 0.500, 0.000], [0.260, 0.625, 0.135], [0.375, 0.510, 0.635], [0.490, 0.125, 0.865], [0.875, 0.740, 0.365]]}

Record 2
{"formula": "MgIrI2O", "functional": "PBE-GGA", "state": "relaxed", "magnetic_moment_mub_per_cell": 0.000, "volume_a3_per_atom": 24.4, "total_energy_ev_per_atom": -3.891, "raw_formation_energy_mev_per_atom": -189, "lattice": [[5.686, 0.000, 0.000], [0.000, 5.686, 0.000], [0.000, 0.000, 3.768]], "species": ["Mg", "Ir", "I", "I", "O"], "frac_coords": [[0.000, 0.000, 0.000], [0.500, 0.500, 0.500], [0.000, 0.500, 0.500], [0.500, 0.000, 0.500], [0.500, 0.500, 0.000]]}

Record 3
{"formula": "OsPt14Rh", "functional": "PBE-GGA", "state": "relaxed", "magnetic_moment_mub_per_cell": 0.003, "ef_mev_per_atom": 40, "volume_a3_per_atom": 15.5, "total_energy_ev_per_atom": -6.407, "lattice": [[9.217, 0.000, 0.000], [0.000, 2.790, 4.828], [0.000, -2.790, 4.828]], "species": ["Os", "Pt", "Pt", "Pt", "Pt", "Pt", "Pt", "Pt", "Pt", "Pt", "Pt", "Pt", "Pt", "Pt", "Pt", "Rh"], "frac_coords": [[0.000, 0.000, 0.000], [0.000, 0.002, 0.500], [0.000, 0.500, 0.002], [0.243, 0.331, 0.834], [0.243, 0.834, 0.331], [0.245, 0.835, 0.835], [0.251, 0.334, 0.334], [0.500, 0.167, 0.167], [0.500, 0.167, 0.668], [0.500, 0.667, 0.667], [0.500, 0.668, 0.167], [0.749, 0.334, 0.334], [0.755, 0.835, 0.835], [0.757, 0.331, 0.834], [0.757, 0.834, 0.331], [0.000, 0.500, 0.500]]}

Record 4
{"formula": "MnAl2TcN", "functional": "PBE-GGA", "state": "relaxed", "magnetic_moment_mub_per_cell": 2.934, "volume_a3_per_atom": 12.7, "total_energy_ev_per_atom": -7.115, "raw_formation_energy_mev_per_atom": -45, "lattice": [[4.005, 0.000, 0.000], [0.000, 4.005, 0.000], [0.000, 0.000, 3.963]], "species": ["Mn", "Al", "Al", "Tc", "N"], "frac_coords": [[0.000, 0.000, 0.000], [0.000, 0.500, 0.500], [0.500, 0.000, 0.500], [0.500, 0.500, 0.000], [0.500, 0.500, 0.500]]}

Record 5
{"formula": "CuHgPd", "functional": "PBE-GGA", "state": "relaxed", "magnetic_moment_mub_per_cell": 0.000, "ef_mev_per_atom": 26, "volume_a3_per_atom": 17.2, "total_energy_ev_per_atom": -3.171, "lattice": [[6.552, 0.000, 0.000], [-3.276, 5.674, 0.000], [0.000, 0.000, 4.156]], "species": ["Cu", "Cu", "Cu", "Hg", "Hg", "Hg", "Pd", "Pd", "Pd"], "frac_coords": [[0.000, 0.230, 0.000], [0.230, 0.000, 0.000], [0.770, 0.770, 0.000], [0.000, 0.565, 0.500], [0.435, 0.435, 0.500], [0.565, 0.000, 0.500], [0.000, 0.000, 0.500], [0.333, 0.667, 0.000], [0.667, 0.333, 0.000]]}

Record 6
{"formula": "LaTb2Cd", "functional": "PBE-GGA", "state": "relaxed", "magnetic_moment_mub_per_cell": 0.004, "ef_mev_per_atom": -91, "volume_a3_per_atom": 30.1, "total_energy_ev_per_atom": -3.866, "lattice": [[4.929, 0.000, 0.000], [0.000, 4.929, 0.000], [0.000, 0.000, 4.955]], "species": ["La", "Tb", "Tb", "Cd"], "frac_coords": [[0.000, 0.000, 0.000], [0.000, 0.500, 0.500], [0.500, 0.000, 0.500], [0.500, 0.500, 0.000]]}

Record 7
{"formula": "Y2Hg8Pb", "functional": "PBE-GGA", "state": "relaxed", "magnetic_moment_mub_per_cell": 0.000, "ef_mev_per_atom": -211, "volume_a3_per_atom": 25.7, "total_energy_ev_per_atom": -1.943, "lattice": [[8.796, -2.347, 0.000], [8.796, 2.347, 0.000], [-2.466, 0.000, 6.845]], "species": ["Y", "Y", "Hg", "Hg", "Hg", "Hg", "Hg", "Hg", "Hg", "Hg", "Pb"], "frac_coords": [[0.217, 0.217, 0.174], [0.783, 0.783, 0.826], [0.039, 0.039, 0.215], [0.154, 0.154, 0.701], [0.337, 0.337, 0.602], [0.392, 0.392, 0.061], [0.608, 0.608, 0.939], [0.663, 0.663, 0.398], [0.846, 0.846, 0.299], [0.961, 0.961, 0.785], [0.500, 0.500, 0.500]]}

Record 8
{"formula": "NdDy12Ho6", "functional": "PBE-GGA", "state": "relaxed", "magnetic_moment_mub_per_cell": 0.000, "ef_mev_per_atom": 439, "volume_a3_per_atom": 34.2, "total_energy_ev_per_atom": -4.164, "lattice": [[7.526, 4.345, 3.311], [-7.526, 4.345, 3.311], [0.000, -8.690, 3.311]], "species": ["Nd", "Dy", "Dy", "Dy", "Dy", "Dy", "Dy", "Dy", "Dy", "Dy", "Dy", "Dy", "Dy", "Ho", "Ho", "Ho", "Ho", "Ho", "Ho"], "frac_coords": [[0.000, 0.000, 0.000], [0.110, 0.500, 0.890], [0.110, 0.890, 0.500], [0.155, 0.370, 0.370], [0.370, 0.155, 0.370], [0.370, 0.370, 0.155], [0.500, 0.110, 0.890], [0.500, 0.890, 0.110], [0.630, 0.630, 0.845], [0.630, 0.845, 0.630], [0.845, 0.630, 0.630], [0.890, 0.110, 0.500], [0.890, 0.500, 0.110], [0.258, 0.684, 0.684], [0.316, 0.316, 0.742], [0.316, 0.742, 0.316], [0.684, 0.258, 0.684], [0.684, 0.684, 0.258], [0.742, 0.316, 0.316]]}